VASP calculation (GGA-PBE) on a relaxed structure of SmMgSn6.

Results
crystal system	tetragonal
formation enthalpy at 0 K	-0.245	eV/atom
symmetry	No. 123
polymorph energy (0 for the lowest one)	0.015	eV per atom

Cell and atoms, written as POSCAR:
```
SmMgSn6
1.0
-0.397 -0.556 4.587
4.594 0.446 0.452
-1.049 9.702 1.084
Sn Sm Mg
6 1 1
Direct
0.500 0.500 0.000
0.500 0.000 0.744
0.500 0.000 0.256
0.000 0.500 0.744
0.500 0.500 0.500
0.000 0.500 0.256
0.000 0.000 0.000
0.000 0.000 0.500
```